[1]
Y3GaMo | meta-GGA SCAN | single point on PBEsol structure

Lattice parameters (Å, degrees): 5.1932 5.1932 5.1932 90.00 90.00 90.00
Sites, in units of the cell vectors:
1 Y 0.0000 0.0000 0.5000
2 Y 0.0000 0.5000 0.0000
3 Y 0.5000 0.0000 0.0000
4 Ga 0.5000 0.5000 0.5000
5 Mo 0.0000 0.0000 0.0000

Results
- DFT total energy (eV/cell) = -132.53
- formation energy (eV/atom) = 0.447
- symmetry = No. 221
- mass density (Mg/m³) = 5.1

***

[2]
YGa40Mo8 | meta-GGA SCAN | single point on PBEsol structure

Lattice parameters (Å, degrees): 9.4744 9.4744 9.4744 94.25 94.25 94.25
Sites, in units of the cell vectors:
1 Y 0.0000 0.0000 0.0000
2 Ga 0.0000 0.5000 0.5000
3 Ga 0.0405 0.8604 0.7164
4 Ga 0.0423 0.4098 0.2159
5 Ga 0.0712 0.7780 0.4435
6 Ga 0.1193 0.6983 0.1659
7 Ga 0.1396 0.2836 0.9595
8 Ga 0.1659 0.1193 0.6983
9 Ga 0.2159 0.0423 0.4098
10 Ga 0.2220 0.5565 0.9288
11 Ga 0.2328 0.3343 0.4723
12 Ga 0.2605 0.6156 0.6441
13 Ga 0.2836 0.9595 0.1396
14 Ga 0.3017 0.8341 0.8807
15 Ga 0.3343 0.4723 0.2328
16 Ga 0.3559 0.7395 0.3844
17 Ga 0.3844 0.3559 0.7395
18 Ga 0.4098 0.2159 0.0423
19 Ga 0.4435 0.0712 0.7780
20 Ga 0.4723 0.2328 0.3343
21 Ga 0.5000 0.0000 0.5000
22 Ga 0.5000 0.5000 0.0000
23 Ga 0.5000 0.5000 0.5000
24 Ga 0.5277 0.7672 0.6657
25 Ga 0.5565 0.9288 0.2220
26 Ga 0.5902 0.7841 0.9577
27 Ga 0.6156 0.6441 0.2605
28 Ga 0.6441 0.2605 0.6156
29 Ga 0.6657 0.5277 0.7672
30 Ga 0.6983 0.1659 0.1193
31 Ga 0.7164 0.0405 0.8604
32 Ga 0.7395 0.3844 0.3559
33 Ga 0.7672 0.6657 0.5277
34 Ga 0.7780 0.4435 0.0712
35 Ga 0.7841 0.9577 0.5902
36 Ga 0.8341 0.8807 0.3017
37 Ga 0.8604 0.7164 0.0405
38 Ga 0.8807 0.3017 0.8341
39 Ga 0.9288 0.2220 0.5565
40 Ga 0.9577 0.5902 0.7841
41 Ga 0.9595 0.1396 0.2836
42 Mo 0.1129 0.3903 0.7121
43 Mo 0.2121 0.2121 0.2121
44 Mo 0.2879 0.8871 0.6097
45 Mo 0.3903 0.7121 0.1129
46 Mo 0.6097 0.2879 0.8871
47 Mo 0.7121 0.1129 0.3903
48 Mo 0.7879 0.7879 0.7879
49 Mo 0.8871 0.6097 0.2879

Results
- DFT total energy (eV/cell) = -968.99
- formation energy (eV/atom) = -0.168
- symmetry = No. 148
- mass density (Mg/m³) = 7.2

***

[3]
Zr2Ga2Mo | meta-GGA SCAN | single point on PBEsol structure

Lattice parameters (Å, degrees): 6.9189 6.9189 3.6747 90.00 90.00 90.00
Sites, in units of the cell vectors:
1 Zr 0.1783 0.3217 0.0000
2 Zr 0.3217 0.8217 0.0000
3 Zr 0.6783 0.1783 0.0000
4 Zr 0.8217 0.6783 0.0000
5 Ga 0.1264 0.6264 0.5000
6 Ga 0.3736 0.1264 0.5000
7 Ga 0.6264 0.8736 0.5000
8 Ga 0.8736 0.3736 0.5000
9 Mo 0.0000 0.0000 0.5000
10 Mo 0.5000 0.5000 0.5000

Results
- DFT total energy (eV/cell) = -263.53
- formation energy (eV/atom) = -0.558
- symmetry = No. 127
- mass density (Mg/m³) = 7.9

***

[4]
GaN | meta-GGA SCAN | single point on PBEsol structure

Lattice parameters (Å, degrees): 4.4957 4.4957 4.4957 90.00 90.00 90.00
Sites, in units of the cell vectors:
1 Ga 0.0000 0.0000 0.0000
2 Ga 0.0000 0.5000 0.5000
3 Ga 0.5000 0.0000 0.5000
4 Ga 0.5000 0.5000 0.0000
5 N 0.2500 0.2500 0.2500
6 N 0.2500 0.7500 0.7500
7 N 0.7500 0.2500 0.7500
8 N 0.7500 0.7500 0.2500

Results
- DFT total energy (eV/cell) = -107.66
- symmetry = No. 216
- uncorrected formation energy (eV/atom) = -0.64
- mass density (Mg/m³) = 6.1

***

[5]
GaN | meta-GGA SCAN | single point on PBEsol structure

Lattice parameters (Å, degrees): 3.1807 3.1807 5.1816 90.00 90.00 120.00
Sites, in units of the cell vectors:
1 Ga 0.3333 0.6667 0.0000
2 Ga 0.6667 0.3333 0.5000
3 N 0.3333 0.6667 0.6234
4 N 0.6667 0.3333 0.1234

Results
- DFT total energy (eV/cell) = -53.85
- symmetry = No. 186
- uncorrected formation energy (eV/atom) = -0.64
- mass density (Mg/m³) = 6.1

***

[6]
NaGaN2O | meta-GGA SCAN | single point on PBEsol structure

Lattice parameters (Å, degrees): 4.3803 4.3803 4.2084 90.00 90.00 90.00
Sites, in units of the cell vectors:
1 Na 0.0000 0.0000 0.0000
2 Ga 0.5000 0.5000 0.5000
3 N 0.0000 0.5000 0.0000
4 N 0.5000 0.0000 0.0000
5 O 0.0000 0.0000 0.5000

Results
- DFT total energy (eV/cell) = -37.42
- symmetry = No. 123
- uncorrected formation energy (eV/atom) = 1.59
- mass density (Mg/m³) = 2.8

***

[7]
NaGaTe2N | meta-GGA SCAN | single point on PBEsol structure

Lattice parameters (Å, degrees): 5.5256 5.5256 4.3631 90.00 90.00 90.00
Sites, in units of the cell vectors:
1 Na 0.0000 0.0000 0.0000
2 Ga 0.5000 0.5000 0.5000
3 Te 0.0000 0.5000 0.0000
4 Te 0.5000 0.0000 0.0000
5 N 0.0000 0.0000 0.5000

Results
- DFT total energy (eV/cell) = -99.14
- symmetry = No. 123
- uncorrected formation energy (eV/atom) = 1.04
- mass density (Mg/m³) = 4.5

***

[8]
NaGaW2N | meta-GGA SCAN | single point on PBEsol structure

Lattice parameters (Å, degrees): 4.9065 4.9065 3.6692 90.00 90.00 90.00
Sites, in units of the cell vectors:
1 Na 0.0000 0.0000 0.0000
2 Ga 0.5000 0.5000 0.5000
3 W 0.0000 0.5000 0.5000
4 W 0.5000 0.0000 0.5000
5 N 0.5000 0.5000 0.0000

Results
- DFT total energy (eV/cell) = -156.78
- symmetry = No. 123
- uncorrected formation energy (eV/atom) = 2.49
- mass density (Mg/m³) = 8.9